Sc2TiCdO: optimized geometry, PBE-GGA.

```
Sc2TiCdO
1.0
4.4630 0.0000 0.0000
0.0000 4.4630 0.0000
0.0000 0.0000 4.1887
Sc Ti O Cd
2 1 1 1
direct
0.0000 0.5000 0.0000
0.5000 0.0000 0.0000
0.0000 0.0000 0.5000
0.0000 0.0000 0.0000
0.5000 0.5000 0.5000
```

Results
* size of the total moment: 0.694 μB/f.u.
* space group: No. 123
* N(E_F): 0.682 states/eV/atom
* uncorrected formation energy: -1.27 eV per atom


Ga2AsO: optimized geometry, PBE-GGA.

```
Ga2AsO
1.0
3.5709 0.4323 2.5525
0.6195 3.7015 2.3171
-0.4086 -0.0527 4.3913
As O Ga
1 1 2
direct
0.5000 0.5000 0.5000
0.0000 0.0000 0.0000
0.2500 0.2500 0.2500
0.7500 0.7500 0.7500
```

Results
* size of the total moment: 0.000 μB/f.u.
* space group: No. 225
* N(E_F): 0.517 states/eV/atom
* uncorrected formation energy: 0.00 eV per atom
* ΔE to the lowest computed polymorph: 607 meV/atom


LiSeOF2: optimized geometry, PBE-GGA.

```
LiSeOF2
1.0
-1.0100 -1.8394 2.8137
2.6913 -2.2029 -0.4741
2.3548 2.3625 2.3896
Li O Se F
1 1 1 2
direct
0.0000 0.0000 0.0000
0.0000 0.0000 0.5000
0.5000 0.5000 0.5000
0.0000 0.5000 0.0000
0.5000 0.0000 0.0000
```

Results
* size of the total moment: 0.503 μB/f.u.
* space group: No. 123
* N(E_F): 0.408 states/eV/atom
* uncorrected formation energy: -0.89 eV per atom
* ΔE to the lowest computed polymorph: 322 meV/atom


VHg3Au: optimized geometry, PBE-GGA.

```
VHg3Au
1.0
5.2951 0.0000 0.0000
0.0000 5.2951 0.0000
0.0000 0.0000 5.2951
Au Hg V
1 3 1
direct
0.0000 0.0000 0.0000
0.0000 0.5000 0.0000
0.0000 0.0000 0.5000
0.5000 0.0000 0.0000
0.5000 0.5000 0.5000
```

Results
* size of the total moment: 4.383 μB/f.u.
* space group: No. 221
* formation enthalpy at 0 K: 0.7861 eV/atom
* N(E_F): 1.631 states/eV/atom
* ΔE to the lowest computed polymorph: 43 meV/atom


LaY2In2Hg2: optimized geometry, PBE-GGA.

```
LaY2In2Hg2
1.0
-1.2260 -2.5405 4.1010
3.4725 -1.0508 3.4079
-1.1008 6.6371 6.8032
La Y In Hg
1 2 2 2
direct
0.0000 0.0000 0.0000
0.1328 0.1328 0.6017
0.8672 0.8672 0.3983
0.7356 0.7356 0.7931
0.2644 0.2644 0.2069
0.5691 0.5691 0.2926
0.4309 0.4309 0.7074
```

Results
* size of the total moment: 0.002 μB/f.u.
* space group: No. 166
* formation enthalpy at 0 K: -0.3383 eV/atom
* N(E_F): 0.633 states/eV/atom


Rb2AuI2: optimized geometry, PBE-GGA.

```
Rb2AuI2
1.0
-3.4527 -0.8780 -6.1873
-6.1448 -0.8100 3.5440
-5.5728 3.9450 -1.5693
I Au Rb
2 1 2
direct
0.3067 0.3067 0.3865
0.6933 0.6933 0.6135
0.0000 0.0000 0.0000
0.7500 0.2500 0.5000
0.2500 0.7500 0.5000
```

Results
* size of the total moment: 0.000 μB/f.u.
* space group: No. 139
* N(E_F): 0.294 states/eV/atom
* uncorrected formation energy: -0.75 eV per atom
* ΔE to the lowest computed polymorph: 4 meV/atom


Ag3BiN: optimized geometry, PBE-GGA.

```
Ag3BiN
1.0
4.5518 0.0000 0.0000
0.0000 4.5518 0.0000
0.0000 0.0000 4.5518
Bi Ag N
1 3 1
direct
0.5000 0.5000 0.5000
0.0000 0.5000 0.0000
0.0000 0.0000 0.5000
0.5000 0.0000 0.0000
0.0000 0.0000 0.0000
```

Results
* size of the total moment: 0.000 μB/f.u.
* space group: No. 221
* N(E_F): 1.110 states/eV/atom
* uncorrected formation energy: 0.67 eV per atom
* ΔE to the lowest computed polymorph: 0 meV/atom


ZnOsRu2: optimized geometry, PBE-GGA.

```
ZnOsRu2
1.0
2.7766 0.0000 0.0000
0.0000 2.7766 0.0000
0.0000 0.0000 7.2883
Os Ru Zn
1 2 1
direct
0.5000 0.5000 0.7500
0.0000 0.0000 0.9974
0.0000 0.0000 0.5026
0.5000 0.5000 0.2500
```

Results
* size of the total moment: 0.000 μB/f.u.
* space group: No. 123
* formation enthalpy at 0 K: 0.0621 eV/atom
* N(E_F): 1.051 states/eV/atom